Record 1
A relaxed YZr2Rh crystal. Source: Alexandria, functional GGA-PBE.

Geometry as POSCAR:
```
YZr2Rh
1.0
3.254 0.000 0.000
0.000 4.658 0.000
0.000 0.000 5.725
Zr Y Rh
2 1 1
Direct
0.000 0.000 0.485
0.000 0.000 0.015
0.500 0.500 0.750
0.500 0.500 0.250
```

Summary:
V = 87 Å³/cell
Energy of formation from the pure elements = -0.091 eV per atom
Space-group type = Pmmm
Energy relative to the lowest polymorph listed for this composition = 288 meV per atom
Mass density = 7.2 g cm⁻³


Record 2
A relaxed YZr2Rh crystal. Source: Alexandria, functional GGA-PBE.

Geometry as POSCAR:
```
YZr2Rh
1.0
-1.311 -1.839 5.595
-5.029 -3.028 1.395
4.524 -0.044 -3.992
Zr Rh Y
2 1 1
Direct
0.500 0.500 0.000
0.000 0.000 0.000
0.250 0.750 0.500
0.750 0.250 0.500
```

Summary:
V = 87 Å³/cell
Energy of formation from the pure elements = -0.207 eV per atom
Space-group type = I4/mmm
Energy relative to the lowest polymorph listed for this composition = 172 meV per atom
Mass density = 7.1 g cm⁻³


Record 3
A relaxed YZrRh2 crystal. Source: Alexandria, functional GGA-PBE.

Geometry as POSCAR:
```
YZrRh2
1.0
-1.446 -2.884 1.012
0.914 -1.442 -2.804
6.871 -3.396 0.140
Rh Y Zr
2 1 1
Direct
0.000 0.024 0.976
0.000 0.476 0.524
0.500 0.250 0.250
0.500 0.750 0.750
```

Summary:
V = 77 Å³/cell
Energy of formation from the pure elements = -0.818 eV per atom
Space-group type = Pmmm
Mass density = 8.3 g cm⁻³


Record 4
A relaxed YZrRh crystal. Source: Alexandria, functional GGA-PBE.

Geometry as POSCAR:
```
YZrRh
1.0
-4.081 -5.676 0.762
-1.153 -4.479 -7.090
4.193 -7.353 0.136
Rh Y Zr
6 6 6
Direct
0.420 0.834 0.834
0.087 0.166 0.166
0.752 0.750 0.250
0.087 0.666 0.666
0.420 0.334 0.334
0.752 0.250 0.750
0.753 0.456 0.956
0.341 0.750 0.250
0.166 0.044 0.544
0.166 0.544 0.044
0.341 0.250 0.750
0.753 0.956 0.456
0.497 0.629 0.629
0.754 0.871 0.871
0.497 0.129 0.129
0.010 0.500 0.500
0.754 0.371 0.371
0.010 0.000 0.000
```

Summary:
V = 404 Å³/cell
Energy of formation from the pure elements = -0.585 eV per atom
Space-group type = Amm2
Energy relative to the lowest polymorph listed for this composition = 0 meV per atom
Mass density = 7.0 g cm⁻³


Record 5
A relaxed YZr2Rh crystal. Source: Alexandria, functional GGA-PBE.

Geometry as POSCAR:
```
YZr2Rh
1.0
-3.072 -0.101 4.923
2.583 -4.721 -2.172
2.409 -0.242 2.078
Y Rh Zr
1 1 2
Direct
0.000 0.500 0.500
0.500 0.000 0.500
0.500 0.500 0.000
0.000 0.000 0.000
```

Summary:
V = 86 Å³/cell
Energy of formation from the pure elements = -0.093 eV per atom
Space-group type = C2/m
Energy relative to the lowest polymorph listed for this composition = 286 meV per atom
Mass density = 7.3 g cm⁻³


Record 6
A relaxed YZrRh2 crystal. Source: Alexandria, functional GGA-PBE.

Geometry as POSCAR:
```
YZrRh2
1.0
-2.426 -0.008 -4.086
-2.587 -3.674 1.545
-2.250 2.142 1.330
Y Zr Rh
1 1 2
Direct
0.500 0.000 0.500
0.000 0.500 0.500
0.500 0.500 0.000
0.000 0.000 0.000
```

Summary:
V = 76 Å³/cell
Energy of formation from the pure elements = -0.771 eV per atom
Space-group type = P4/mmm
Mass density = 8.4 g cm⁻³


Record 7
A relaxed YZr2Rh crystal. Source: Alexandria, functional GGA-PBE.

Geometry as POSCAR:
```
YZr2Rh
1.0
-0.841 -1.954 2.625
2.361 -2.239 -0.909
5.245 3.723 4.452
Zr Y Rh
2 1 1
Direct
0.000 0.000 0.450
0.000 0.000 0.050
0.500 0.500 0.750
0.500 0.500 0.250
```

Summary:
V = 89 Å³/cell
Energy of formation from the pure elements = -0.272 eV per atom
Space-group type = P4/mmm
Energy relative to the lowest polymorph listed for this composition = 107 meV per atom
Mass density = 7.0 g cm⁻³


Record 8
A relaxed YZr3Rh crystal. Source: Alexandria, functional GGA-PBE.

Geometry as POSCAR:
```
YZr3Rh
1.0
5.096 0.000 0.000
0.000 5.096 0.000
0.000 0.000 5.096
Zr Y Rh
3 1 1
Direct
0.000 0.000 0.500
0.500 0.000 0.000
0.000 0.500 0.000
0.500 0.500 0.500
0.000 0.000 0.000
```

Summary:
V = 132 Å³/cell
Energy of formation from the pure elements = 0.087 eV per atom
Space-group type = Pm-3m
Energy relative to the lowest polymorph listed for this composition = 0 meV per atom
Mass density = 5.8 g cm⁻³


Record 9
A relaxed YZr3Rh2 crystal. Source: Alexandria, functional GGA-PBE.

Geometry as POSCAR:
```
YZr3Rh2
1.0
4.798 0.000 0.000
-2.399 8.195 -0.249
0.000 -3.960 6.660
Y Zr Rh
2 6 4
Direct
0.136 0.272 0.066
0.864 0.728 0.934
0.061 0.122 0.403
0.609 0.217 0.713
0.702 0.404 0.416
0.939 0.878 0.597
0.298 0.596 0.584
0.391 0.783 0.287
0.786 0.572 0.197
0.483 0.966 0.816
0.517 0.034 0.184
0.214 0.428 0.803
```

Summary:
V = 257 Å³/cell
Energy of formation from the pure elements = -0.495 eV per atom
Space-group type = C2/m
Mass density = 7.3 g cm⁻³


Record 10
A relaxed Y2Zr3Rh2 crystal. Source: Alexandria, functional GGA-PBE.

Geometry as POSCAR:
```
Y2Zr3Rh2
1.0
-1.779 0.358 -3.150
-4.704 -3.946 0.110
-6.724 3.924 2.146
Y Rh Zr
2 2 3
Direct
0.853 0.493 0.800
0.147 0.507 0.200
0.156 0.924 0.764
0.844 0.076 0.236
0.619 0.207 0.555
0.381 0.793 0.445
0.500 0.000 0.000
```

Summary:
V = 161 Å³/cell
Energy of formation from the pure elements = -0.491 eV per atom
Space-group type = C2/m
Mass density = 6.8 g cm⁻³


Record 11
A relaxed YZr2Rh crystal. Source: Alexandria, functional GGA-PBE.

Geometry as POSCAR:
```
YZr2Rh
1.0
-0.848 2.613 -4.550
2.608 -2.460 -1.899
-3.039 -2.536 -0.890
Zr Rh Y
2 1 1
Direct
0.000 0.500 0.500
0.000 0.000 0.000
0.500 0.500 0.000
0.500 0.000 0.500
```

Summary:
V = 87 Å³/cell
Energy of formation from the pure elements = -0.172 eV per atom
Space-group type = P4/mmm
Energy relative to the lowest polymorph listed for this composition = 207 meV per atom
Mass density = 7.1 g cm⁻³


Record 12
A relaxed Y3ZrRh crystal. Source: Alexandria, functional GGA-PBE.

Geometry as POSCAR:
```
Y3ZrRh
1.0
5.341 0.000 0.000
0.000 5.341 0.000
0.000 0.000 5.341
Zr Y Rh
1 3 1
Direct
0.500 0.500 0.500
0.000 0.000 0.500
0.500 0.000 0.000
0.000 0.500 0.000
0.000 0.000 0.000
```

Summary:
V = 152 Å³/cell
Energy of formation from the pure elements = 0.020 eV per atom
Space-group type = Pm-3m
Energy relative to the lowest polymorph listed for this composition = 0 meV per atom
Mass density = 5.0 g cm⁻³


Record 13
A relaxed YZr2Rh crystal. Source: Alexandria, functional GGA-PBE.

Geometry as POSCAR:
```
YZr2Rh
1.0
-1.266 -0.760 -3.047
2.412 -2.339 -0.418
-4.621 -5.345 3.253
Zr Y Rh
2 1 1
Direct
0.000 0.000 0.024
0.500 0.500 0.286
0.500 0.500 0.714
0.000 0.000 0.476
```

Summary:
V = 89 Å³/cell
Energy of formation from the pure elements = -0.371 eV per atom
Space-group type = P4mm
Energy relative to the lowest polymorph listed for this composition = 8 meV per atom
Mass density = 7.0 g cm⁻³


Record 14
A relaxed Y4ZrRh5 crystal. Source: Alexandria, functional GGA-PBE.

Geometry as POSCAR:
```
Y4ZrRh5
1.0
-2.035 -0.929 2.526
-1.308 -2.426 -1.947
12.168 -11.143 5.706
Rh Zr Y
5 1 4
Direct
0.500 0.500 0.296
0.500 0.500 0.704
0.500 0.500 0.500
0.500 0.500 0.912
0.500 0.500 0.088
0.000 0.000 0.000
0.000 0.000 0.197
0.000 0.000 0.399
0.000 0.000 0.803
0.000 0.000 0.601
```

Summary:
V = 199 Å³/cell
Energy of formation from the pure elements = -0.829 eV per atom
Space-group type = P4/mmm
Mass density = 8.0 g cm⁻³


Record 15
A relaxed YZr2Rh crystal. Source: Alexandria, functional GGA-PBE.

Geometry as POSCAR:
```
YZr2Rh
1.0
-4.328 1.935 1.444
-1.488 -0.490 4.702
-0.073 3.945 3.000
Y Zr Rh
1 2 1
Direct
0.750 0.750 0.750
0.000 0.000 0.000
0.250 0.250 0.250
0.500 0.500 0.500
```

Summary:
V = 86 Å³/cell
Energy of formation from the pure elements = -0.102 eV per atom
Space-group type = F-43m
Energy relative to the lowest polymorph listed for this composition = 276 meV per atom
Mass density = 7.2 g cm⁻³


Record 16
A relaxed YZrRh2 crystal. Source: Alexandria, functional GGA-PBE.

Geometry as POSCAR:
```
YZrRh2
1.0
-2.003 -2.582 0.254
3.471 -2.644 0.489
-0.229 0.721 5.525
Y Rh Zr
1 2 1
Direct
0.000 0.000 0.432
0.000 0.000 0.931
0.500 0.500 0.315
0.500 0.500 0.823
```

Summary:
V = 80 Å³/cell
Energy of formation from the pure elements = -0.548 eV per atom
Space-group type = Pmm2
Mass density = 8.0 g cm⁻³


Record 17
A relaxed Y2ZrRh2 crystal. Source: Alexandria, functional GGA-PBE.

Geometry as POSCAR:
```
Y2ZrRh2
1.0
3.756 0.003 1.597
1.217 5.197 2.336
-0.252 0.486 5.801
Rh Y Zr
2 2 1
Direct
0.000 0.224 0.276
0.000 0.776 0.724
0.300 0.200 0.700
0.700 0.800 0.300
0.500 0.500 0.000
```

Summary:
V = 112 Å³/cell
Energy of formation from the pure elements = -0.699 eV per atom
Space-group type = Immm
Energy relative to the lowest polymorph listed for this composition = 0 meV per atom
Mass density = 7.0 g cm⁻³


Record 18
A relaxed YZrRh2 crystal. Source: Alexandria, functional GGA-PBE.

Geometry as POSCAR:
```
YZrRh2
1.0
-0.736 -4.932 -2.805
0.990 -5.052 2.496
-2.857 4.905 0.716
Rh Zr Y
2 1 1
Direct
0.750 0.250 0.500
0.011 0.011 0.000
0.241 0.741 0.500
0.499 0.499 0.000
```

Summary:
V = 77 Å³/cell
Energy of formation from the pure elements = -0.587 eV per atom
Space-group type = Imm2
Mass density = 8.3 g cm⁻³


Record 19
A relaxed Y4ZrRh crystal. Source: Alexandria, functional GGA-PBE.

Geometry as POSCAR:
```
Y4ZrRh
1.0
5.157 -3.319 0.024
2.864 -1.178 5.294
-0.023 -5.685 2.300
Y Zr Rh
4 1 1
Direct
0.875 0.375 0.375
0.375 0.875 0.375
0.375 0.375 0.375
0.375 0.375 0.875
0.750 0.750 0.750
0.000 0.000 0.000
```

Summary:
V = 163 Å³/cell
Energy of formation from the pure elements = 0.622 eV per atom
Space-group type = F-43m
Mass density = 5.6 g cm⁻³


Record 20
A relaxed YZrRh crystal. Source: Alexandria, functional GGA-PBE.

Geometry as POSCAR:
```
YZrRh
1.0
3.600 -0.010 -0.007
0.013 4.820 -0.507
0.017 0.809 7.683
Y Zr Rh
2 2 2
Direct
0.523 0.338 0.380
0.023 0.838 0.667
0.023 0.338 0.996
0.523 0.838 0.051
0.023 0.838 0.300
0.523 0.338 0.747
```

Summary:
V = 135 Å³/cell
Energy of formation from the pure elements = -0.567 eV per atom
Space-group type = Pmmn
Energy relative to the lowest polymorph listed for this composition = 18 meV per atom
Mass density = 7.0 g cm⁻³


Record 21
A relaxed Y2Zr3Rh4 crystal. Source: Alexandria, functional GGA-PBE.

Geometry as POSCAR:
```
Y2Zr3Rh4
1.0
-5.496 -1.313 -5.103
4.758 -5.361 -0.088
-3.843 -3.493 5.037
Zr Rh Y
6 8 4
Direct
0.500 0.500 0.000
0.249 0.752 0.159
0.251 0.248 0.659
0.749 0.752 0.341
0.000 0.500 0.500
0.751 0.248 0.841
0.378 0.506 0.358
0.366 0.094 0.953
0.134 0.906 0.453
0.866 0.094 0.547
0.634 0.906 0.047
0.622 0.494 0.642
0.122 0.494 0.858
0.878 0.506 0.142
0.920 0.806 0.826
0.080 0.194 0.174
0.580 0.194 0.326
0.420 0.806 0.674
```

Summary:
V = 371 Å³/cell
Energy of formation from the pure elements = -0.751 eV per atom
Space-group type = P2_1/c
Mass density = 7.7 g cm⁻³


Record 22
A relaxed YZrRh4 crystal. Source: Alexandria, functional GGA-PBE.

Geometry as POSCAR:
```
YZrRh4
1.0
5.282 0.000 0.000
2.641 4.574 0.000
2.641 1.525 4.313
Rh Y Zr
4 1 1
Direct
0.625 0.625 0.625
0.125 0.625 0.625
0.625 0.625 0.125
0.625 0.125 0.625
0.250 0.250 0.250
0.000 0.000 0.000
```

Summary:
V = 104 Å³/cell
Energy of formation from the pure elements = -0.651 eV per atom
Space-group type = F-43m
Mass density = 9.4 g cm⁻³


Record 23
A relaxed YZrRh crystal. Source: Alexandria, functional GGA-PBE.

Geometry as POSCAR:
```
YZrRh
1.0
-3.609 -0.852 2.878
0.094 -1.925 -4.281
1.622 -2.680 1.241
Rh Y Zr
1 1 1
Direct
0.000 0.000 0.959
0.667 0.333 0.305
0.333 0.667 0.736
```

Summary:
V = 64 Å³/cell
Energy of formation from the pure elements = -0.313 eV per atom
Space-group type = P3m1
Energy relative to the lowest polymorph listed for this composition = 272 meV per atom
Mass density = 7.3 g cm⁻³


Record 24
A relaxed YZrRh3 crystal. Source: Alexandria, functional GGA-PBE.

Geometry as POSCAR:
```
YZrRh3
1.0
-4.619 -1.216 0.568
1.122 -2.379 4.028
-0.737 4.000 2.568
Rh Y Zr
3 1 1
Direct
0.500 0.000 0.000
0.000 0.000 0.500
0.000 0.500 0.000
0.500 0.500 0.500
0.000 0.000 0.000
```

Summary:
V = 111 Å³/cell
Energy of formation from the pure elements = 0.039 eV per atom
Space-group type = Pm-3m
Energy relative to the lowest polymorph listed for this composition = 0 meV per atom
Mass density = 7.3 g cm⁻³


Record 25
A relaxed YZr2Rh crystal. Source: Alexandria, functional GGA-PBE.

Geometry as POSCAR:
```
YZr2Rh
1.0
5.705 0.005 0.000
-3.031 4.834 0.000
0.000 0.000 3.144
Zr Y Rh
2 1 1
Direct
0.000 0.000 0.000
0.500 0.500 0.000
0.000 0.500 0.500
0.500 0.000 0.500
```

Summary:
V = 87 Å³/cell
Energy of formation from the pure elements = -0.033 eV per atom
Space-group type = Cmmm
Energy relative to the lowest polymorph listed for this composition = 345 meV per atom
Mass density = 7.2 g cm⁻³


Record 26
A relaxed YZr3Rh4 crystal. Source: Alexandria, functional GGA-PBE.

Geometry as POSCAR:
```
YZr3Rh4
1.0
-1.891 3.820 -1.742
-4.420 -0.001 -1.290
-4.338 3.656 6.642
Rh Zr Y
4 3 1
Direct
0.394 0.394 0.819
0.132 0.132 0.605
0.868 0.868 0.395
0.606 0.606 0.181
0.500 0.500 0.500
0.752 0.752 0.745
0.248 0.248 0.255
0.000 0.000 0.000
```

Summary:
V = 153 Å³/cell
Energy of formation from the pure elements = -0.778 eV per atom
Space-group type = R-3m
Mass density = 8.4 g cm⁻³


Record 27
A relaxed YZrRh crystal. Source: Alexandria, functional GGA-PBE.

Geometry as POSCAR:
```
YZrRh
1.0
4.612 0.000 0.000
0.000 4.612 0.000
0.000 0.000 6.666
Rh Zr Y
2 2 2
Direct
0.000 0.500 0.292
0.500 0.000 0.708
0.500 0.500 0.500
0.000 0.000 0.500
0.000 0.500 0.870
0.500 0.000 0.130
```

Summary:
V = 142 Å³/cell
Energy of formation from the pure elements = -0.569 eV per atom
Space-group type = P4/nmm
Energy relative to the lowest polymorph listed for this composition = 16 meV per atom
Mass density = 6.6 g cm⁻³